This record from Alexandria describes a relaxed structure of Ni3GeRh3. The functional is PBE-GGA.

Cell: 5.7786 5.7786 19.7050 Å, 90.00 90.00 120.00°
With the nearest neighbours (Å) after each atom.
Space group R-3 (No. 148, hexagonal axes)
Unique sites:
Ni 0.0419 0.7809 0.1939  5 Ni 2.35-2.43, 2 Rh 2.51-2.56, 1 Ge 2.55
Ge 0.0000 0.0000 0.3018  6 Rh 2.53-2.54, 3 Ni 2.55
Rh 0.0192 0.5800 0.7249  3 Ni 2.51-2.69, 2 Ge 2.53-2.54, 2 Rh 2.81

Summary:
The value obtained for the total energy is -6.234 eV/atom. The value obtained for the formation energy is 0.054 eV/atom. As for the volume: 94.97 Å³/f.u.